Below is crystalline KNdAsS4 at its relaxed geometry, with properties calculated at the PBE level.

abc: 6.813 6.679 8.819
angles: 90.00 107.72 90.00
Positions (direct):
S 0.007 0.983 0.215
S 0.573 0.250 0.930
S 0.565 0.250 0.342
S 0.435 0.750 0.658
S 0.007 0.517 0.215
S 0.427 0.750 0.070
S 0.993 0.017 0.785
S 0.993 0.483 0.785
Nd 0.228 0.250 0.056
Nd 0.772 0.750 0.944
As 0.220 0.750 0.815
As 0.780 0.250 0.185
K 0.270 0.250 0.567
K 0.730 0.750 0.433

Values from the calculation:
Spin magnetization in μB per formula unit: 0.001
Symmetry: P2_1/m
Total DFT energy (no corrections) in eV per formula unit: -34.1

Below is crystalline K3NdAs2S8 at its relaxed geometry, with properties calculated at the PBE level.

abc: 10.901 10.901 8.984
angles: 102.72 102.72 122.33
Positions (direct):
Nd 0.757 0.243 0.250
Nd 0.243 0.757 0.750
S 0.156 0.870 0.517
S 0.139 0.493 0.848
S 0.128 0.471 0.442
S 0.870 0.156 0.017
S 0.529 0.872 0.058
S 0.242 0.266 0.630
S 0.861 0.507 0.152
S 0.493 0.139 0.348
S 0.734 0.758 0.870
S 0.130 0.844 0.983
S 0.872 0.529 0.558
S 0.471 0.128 0.942
S 0.266 0.242 0.130
S 0.758 0.734 0.370
S 0.507 0.861 0.652
S 0.844 0.130 0.483
As 0.095 0.341 0.605
As 0.659 0.905 0.895
As 0.905 0.659 0.395
As 0.341 0.095 0.105
K 0.261 0.739 0.250
K 0.739 0.261 0.750
K 0.500 0.500 0.000
K 0.500 0.500 0.500
K 0.004 0.996 0.250
K 0.996 0.004 0.750

Values from the calculation:
Spin magnetization in μB per formula unit: 0.003
Symmetry: C2/c
Total DFT energy (no corrections) in eV per formula unit: -63.2

Below is crystalline KNdAsSe3 at its relaxed geometry, with properties calculated at the PBE level.

abc: 8.350 8.350 10.269
angles: 90.00 90.00 148.94
Positions (direct):
Nd 0.500 0.500 0.000
Nd 0.500 0.500 0.500
As 0.962 0.038 0.750
As 0.038 0.962 0.250
K 0.255 0.745 0.750
K 0.745 0.255 0.250
Se 0.125 0.875 0.448
Se 0.875 0.125 0.552
Se 0.398 0.602 0.250
Se 0.875 0.125 0.948
Se 0.602 0.398 0.750
Se 0.125 0.875 0.052

Values from the calculation:
Spin magnetization in μB per formula unit: 0.468
Symmetry: Cmcm
Total DFT energy (no corrections) in eV per formula unit: -26.7

Below is crystalline KNi3As5 at its relaxed geometry, with properties calculated at the PBE level.

abc: 5.057 5.057 8.181
angles: 90.00 90.00 120.00
Positions (direct):
Ni 0.000 0.500 0.500
Ni 0.500 0.000 0.500
Ni 0.500 0.500 0.500
As 0.333 0.667 0.262
As 0.000 0.000 0.500
As 0.667 0.333 0.738
As 0.333 0.667 0.738
As 0.667 0.333 0.262
K 0.000 0.000 0.000

Values from the calculation:
Spin magnetization in μB per formula unit: 0.007
Symmetry: P6/mmm
Total DFT energy (no corrections) in eV per formula unit: -43.1

Below is crystalline KNi2AsP at its relaxed geometry, with properties calculated at the PBE level.

abc: 4.077 4.077 6.382
angles: 102.33 102.33 101.10
Positions (direct):
K 0.995 0.995 0.996
Ni 0.803 0.210 0.516
Ni 0.210 0.803 0.516
As 0.621 0.621 0.333
P 0.372 0.372 0.639

Values from the calculation:
Spin magnetization in μB per formula unit: 0.002
Symmetry: Cm
Total DFT energy (no corrections) in eV per formula unit: -24.7

Below is crystalline K2NpAs2 at its relaxed geometry, with properties calculated at the PBE level.

abc: 8.868 8.868 5.587
angles: 90.00 90.00 128.75
Positions (direct):
As 0.661 0.865 0.250
As 0.865 0.661 0.750
As 0.339 0.135 0.750
As 0.135 0.339 0.250
K 0.417 0.583 0.750
K 0.774 0.226 0.750
K 0.226 0.774 0.250
K 0.583 0.417 0.250
Np 0.000 0.000 0.000
Np 0.000 0.000 0.500

Values from the calculation:
Spin magnetization in μB per formula unit: 3.337
Symmetry: Cmcm
Total DFT energy (no corrections) in eV per formula unit: -25.7

Below is crystalline KAsOsO at its relaxed geometry, with properties calculated at the PBE level.

abc: 3.708 7.821 5.709
angles: 90.00 90.00 90.00
Positions (direct):
As 0.000 0.170 0.388
As 0.000 0.830 0.888
K 0.000 0.376 0.884
K 0.000 0.624 0.384
O 0.500 0.831 0.388
O 0.500 0.169 0.888
Os 0.500 0.965 0.094
Os 0.500 0.035 0.594

Values from the calculation:
Spin magnetization in μB per formula unit: 0.002
Symmetry: Pmc2_1
Total DFT energy (no corrections) in eV per formula unit: -23.7

Below is crystalline KAsOsO at its relaxed geometry, with properties calculated at the PBE level.

abc: 3.850 3.850 11.322
angles: 90.00 90.00 90.00
Positions (direct):
As 0.500 0.000 0.640
As 0.000 0.500 0.360
K 0.500 0.000 0.150
K 0.000 0.500 0.850
O 0.500 0.500 0.000
O 0.000 0.000 0.000
Os 0.000 0.000 0.500
Os 0.500 0.500 0.500

Values from the calculation:
Spin magnetization in μB per formula unit: 0.010
Symmetry: P4/nmm
Total DFT energy (no corrections) in eV per formula unit: -22.1

Look up the spin magnetization of the sixth one. 3.337 μB per formula unit